GGA-PBE YErCdPb, optimized geometry; raw total energy = -4.2914 eV per atom; calculated volume = 26.71 Å³/atom; DFT formation energy = -0.38 eV per atom
1.0
5.326 0.000 0.000
2.663 4.613 0.000
2.663 1.538 4.349
Cd Y Pb Er
1 1 1 1
Cartesian
2.663 1.538 1.087
5.326 3.075 2.174
7.989 4.613 3.262
0.000 0.000 0.000